Entry from the Open Quantum Materials Database: a relaxed structure of LaZrPO (PBE).

Lattice parameters (Å, degrees): 4.2530 4.2530 9.0132 90.00 90.00 90.00
Closest atoms and distances in Å follow each position.
Fractional positions:
La 0.2500 0.2500 0.1252  4 O 2.41
La 0.7500 0.7500 0.8748  4 O 2.41
Zr 0.2500 0.7500 0.5000  4 P 2.64
Zr 0.7500 0.2500 0.5000  4 P 2.64
P 0.2500 0.2500 0.6732  4 Zr 2.64
P 0.7500 0.7500 0.3268  4 Zr 2.64
O 0.2500 0.7500 0.0000  4 La 2.41
O 0.7500 0.2500 0.0000  4 La 2.41

Calculated values
Space-group type: No. 129
Total magnetic moment (μB per cell): 0.03
Relative energy among the computed polymorphs (kJ/mol of formula units): 0

Entry from the Open Quantum Materials Database: a relaxed structure of Er2Tc2Bi (PBE).

Lattice parameters (Å, degrees): 4.8359 13.6105 3.4375 90.00 90.00 90.00
Closest atoms and distances in Å follow each position.
Fractional positions:
Er 0.0051 0.1615 0.0000  6 Tc 2.94-2.97, 2 Bi 3.25-3.29
Er 0.4949 0.6615 0.0000  6 Tc 2.94-2.97, 2 Bi 3.25-3.29
Er 0.5051 0.3385 0.0000  6 Tc 2.94-2.97, 2 Bi 3.25-3.29
Er 0.9949 0.8385 0.0000  6 Tc 2.94-2.97, 2 Bi 3.25-3.29
Tc 0.0072 0.3369 0.5000  2 Bi 2.81, 6 Er 2.94-2.97
Tc 0.4928 0.8369 0.5000  2 Bi 2.81, 6 Er 2.94-2.97
Tc 0.5072 0.1631 0.5000  2 Bi 2.81, 6 Er 2.94-2.97
Tc 0.9928 0.6631 0.5000  2 Bi 2.81, 6 Er 2.94-2.97
Bi 0.0000 0.5000 0.0000  4 Tc 2.81
Bi 0.5000 0.0000 0.0000  4 Tc 2.81

Calculated values
Space-group type: No. 55
Total magnetic moment (μB per cell): 0.04

Entry from the Open Quantum Materials Database: a relaxed structure of MgTaIr2 (PBE).

Lattice parameters (Å, degrees): 4.5959 4.5959 3.0139 90.00 90.00 97.64
Closest atoms and distances in Å follow each position.
Fractional positions:
Mg 0.0000 0.0000 0.0000  8 Ir 2.75, 2 Mg 3.01, 2 Ta 3.03
Ta 0.5000 0.5000 0.0000  8 Ir 2.75, 2 Ta 3.01, 2 Mg 3.03
Ir 0.0000 0.5000 0.5000  4 Ta 2.75, 4 Mg 2.75, 4 Ir 3.01-3.03
Ir 0.5000 0.0000 0.5000  4 Ta 2.75, 4 Mg 2.75, 4 Ir 3.01-3.03

Calculated values
Space-group type: No. 65
Total magnetic moment (μB per cell): 0.00
Relative energy among the computed polymorphs (kJ/mol of formula units): 34

Entry from the Open Quantum Materials Database: a relaxed structure of TaHgNO (PBE).

Lattice parameters (Å, degrees): 5.9464 6.8932 6.5455 90.00 90.00 90.00
Closest atoms and distances in Å follow each position.
Fractional positions:
Ta 0.1083 0.0915 0.0000  1 N 1.80, 1 O 1.99
Ta 0.3917 0.0915 0.5000  1 N 1.80, 1 O 1.99
Ta 0.6083 0.9085 0.0000  1 N 1.80, 1 O 1.99
Ta 0.8917 0.9085 0.5000  1 N 1.80, 1 O 1.99
Hg 0.2187 0.6550 0.9634  1 N 2.18
Hg 0.2813 0.6550 0.4634  1 N 2.18
Hg 0.7187 0.3450 0.9634  1 N 2.18
Hg 0.7813 0.3450 0.4634  1 N 2.18
N 0.1463 0.3495 0.0147  1 Ta 1.80
N 0.3537 0.3495 0.5147  1 Ta 1.80
N 0.6463 0.6505 0.0147  1 Ta 1.80
N 0.8537 0.6505 0.5147  1 Ta 1.80
O 0.1093 0.0421 0.7005  3 Ta 1.99-2.16
O 0.3907 0.0421 0.2005  3 Ta 1.99-2.16
O 0.6093 0.9579 0.7005  3 Ta 1.99-2.16
O 0.8907 0.9579 0.2005  3 Ta 1.99-2.16

Calculated values
Space-group type: No. 29
Total magnetic moment (μB per cell): 0.01
Relative energy among the computed polymorphs (kJ/mol of formula units): 184

Entry from the Open Quantum Materials Database: a relaxed structure of LaHo2Se3 (PBE).

Lattice parameters (Å, degrees): 4.1006 4.1006 10.2867 90.00 90.00 120.00
Closest atoms and distances in Å follow each position.
Fractional positions:
La 0.0000 0.0000 0.0000  6 Se 3.04
Ho 0.3333 0.6667 0.6618  6 Se 2.84-2.89
Ho 0.6667 0.3333 0.3382  6 Se 2.84-2.89
Se 0.0000 0.0000 0.5000  6 Ho 2.89
Se 0.3333 0.6667 0.1850  3 Ho 2.84, 3 La 3.04
Se 0.6667 0.3333 0.8150  3 Ho 2.84, 3 La 3.04

Calculated values
Space-group type: No. 164
Total magnetic moment (μB per cell): 0.01

Entry from the Open Quantum Materials Database: a relaxed structure of Zn3Au (PBE).

Lattice parameters (Å, degrees): 4.4551 5.6455 4.8784 90.00 90.00 90.00
Closest atoms and distances in Å follow each position.
Fractional positions:
Zn 0.2500 0.0035 0.1658  8 Zn 2.75-2.86, 4 Au 2.77-2.83
Zn 0.2500 0.4965 0.1658  8 Zn 2.75-2.86, 4 Au 2.77-2.83
Zn 0.2500 0.7500 0.6618  4 Au 2.75-2.82, 8 Zn 2.76-2.84
Zn 0.7500 0.2500 0.3382  4 Au 2.75-2.82, 8 Zn 2.76-2.84
Zn 0.7500 0.5035 0.8342  8 Zn 2.75-2.86, 4 Au 2.77-2.83
Zn 0.7500 0.9965 0.8342  8 Zn 2.75-2.86, 4 Au 2.77-2.83
Au 0.2500 0.2500 0.6705  12 Zn 2.75-2.83
Au 0.7500 0.7500 0.3295  12 Zn 2.75-2.83

Calculated values
Space-group type: No. 59
Energy of formation from the pure elements (meV per atom): -158

Entry from the Open Quantum Materials Database: a relaxed structure of UAl (PBE).

Lattice parameters (Å, degrees): 4.1785 4.1785 4.1785 60.00 60.00 60.00
Closest atoms and distances in Å follow each position.
Fractional positions:
U 0.0000 0.0000 0.0000  6 Al 2.95
Al 0.5000 0.5000 0.5000  6 U 2.95

Calculated values
Space-group type: No. 225
Total magnetic moment (μB per cell): 2.93

Entry from the Open Quantum Materials Database: a relaxed structure of DyAl2Ga (PBE).

Lattice parameters (Å, degrees): 4.5656 6.2695 6.2695 60.38 90.00 90.00
Closest atoms and distances in Å follow each position.
Fractional positions:
Dy 0.0000 0.0000 0.0000  4 Ga 3.04, 8 Al 3.08-3.16
Dy 0.5000 0.3306 0.3306  8 Al 3.05-3.16, 4 Ga 3.14
Al 0.0000 0.5194 0.5194  2 Al 2.76, 4 Ga 2.78, 2 Dy 3.07
Al 0.0000 0.5215 0.9589  4 Al 2.76-2.77, 2 Ga 2.80, 2 Dy 3.05
Al 0.0000 0.9589 0.5215  4 Al 2.76-2.77, 2 Ga 2.80, 2 Dy 3.05
Al 0.5000 0.8095 0.8095  2 Ga 2.76, 4 Al 2.77, 2 Dy 3.08
Ga 0.5000 0.3691 0.8112  5 Al 2.76-2.80, 1 Ga 2.79, 2 Dy 3.04
Ga 0.5000 0.8112 0.3691  5 Al 2.76-2.80, 1 Ga 2.79, 2 Dy 3.04

Calculated values
Space-group type: No. 38
Total magnetic moment (μB per cell): 0.00

Entry from the Open Quantum Materials Database: a relaxed structure of TbCu (PBE).

Lattice parameters (Å, degrees): 3.4696 3.4696 3.4696 90.00 90.00 90.00
Closest atoms and distances in Å follow each position.
Fractional positions:
Tb 0.0000 0.0000 0.0000  8 Cu 3.00
Cu 0.5000 0.5000 0.5000  8 Tb 3.00

Calculated values
Space-group type: No. 221
Energy of formation from the pure elements (meV per atom): -238
Total magnetic moment (μB per cell): 0.00

Entry from the Open Quantum Materials Database: a relaxed structure of LuCoGeMo (PBE).

Lattice parameters (Å, degrees): 4.5719 4.5719 4.5719 60.00 60.00 60.00
Closest atoms and distances in Å follow each position.
Fractional positions:
Lu 0.0000 0.0000 0.0000  4 Mo 2.80, 4 Ge 2.80
Co 0.5000 0.5000 0.5000  4 Ge 2.80, 4 Mo 2.80
Ge 0.2500 0.2500 0.2500  4 Co 2.80, 4 Lu 2.80
Mo 0.7500 0.7500 0.7500  4 Lu 2.80, 4 Co 2.80

Calculated values
Space-group type: No. 216
Total magnetic moment (μB per cell): 3.69
Relative energy among the computed polymorphs (kJ/mol of formula units): 84

Entry from the Open Quantum Materials Database: a relaxed structure of Lu2Ni (PBE).

Lattice parameters (Å, degrees): 7.5839 7.5839 3.9213 90.00 90.00 120.00
Closest atoms and distances in Å follow each position.
Fractional positions:
Lu 0.0000 0.2509 0.0000  4 Ni 2.73-2.89
Lu 0.0000 0.5855 0.5000  5 Ni 3.01-3.14, 2 Lu 3.21
Lu 0.2509 0.0000 0.0000  4 Ni 2.73-2.89
Lu 0.4145 0.4145 0.5000  5 Ni 3.01-3.14, 2 Lu 3.21
Lu 0.5855 0.0000 0.5000  5 Ni 3.01-3.14, 2 Lu 3.21
Lu 0.7491 0.7491 0.0000  4 Ni 2.73-2.89
Ni 0.0000 0.0000 0.5000  6 Lu 2.73
Ni 0.3333 0.6667 0.0000  9 Lu 2.89-3.01
Ni 0.6667 0.3333 0.0000  9 Lu 2.89-3.01

Calculated values
Space-group type: No. 189
Energy of formation from the pure elements (meV per atom): -248
Total magnetic moment (μB per cell): 0.10

Entry from the Open Quantum Materials Database: a relaxed structure of Ho3Mg3CdGaAg (PBE).

Lattice parameters (Å, degrees): 7.4974 7.4974 4.3411 90.00 90.00 120.00
Closest atoms and distances in Å follow each position.
Fractional positions:
Ho 0.0915 0.3500 0.0000  2 Ga 3.05, 1 Ag 3.13, 2 Cd 3.20, 2 Mg 3.35
Ho 0.2584 0.9085 0.0000  2 Ga 3.05, 1 Ag 3.13, 2 Cd 3.20, 2 Mg 3.35
Ho 0.6500 0.7416 0.0000  2 Ga 3.05, 1 Ag 3.13, 2 Cd 3.20, 2 Mg 3.35
Mg 0.4243 0.3346 0.5000  2 Ag 2.83, 1 Ga 2.89, 1 Cd 2.90, 2 Mg 3.16
Mg 0.6654 0.0897 0.5000  2 Ag 2.83, 1 Ga 2.89, 1 Cd 2.90, 2 Mg 3.16
Mg 0.9103 0.5757 0.5000  2 Ag 2.83, 1 Ga 2.89, 1 Cd 2.90, 2 Mg 3.16
Cd 0.0000 0.0000 0.5000  3 Mg 2.90, 6 Ho 3.20
Ga 0.3333 0.6667 0.5000  3 Mg 2.89, 6 Ho 3.05
Ag 0.6667 0.3333 0.0000  6 Mg 2.83, 3 Ho 3.13

Calculated values
Space-group type: No. 174
Total magnetic moment (μB per cell): 0.01

Entry from the Open Quantum Materials Database: a relaxed structure of Mg2AgSb2Au (PBE).

Lattice parameters (Å, degrees): 8.0186 4.6310 15.3663 90.00 100.06 90.00
Closest atoms and distances in Å follow each position.
Fractional positions:
Mg 0.0000 0.0000 0.0000  2 Au 2.80, 2 Ag 2.86-2.88
Mg 0.0071 0.5000 0.5012  3 Au 2.82-2.83, 1 Ag 2.85
Mg 0.2556 0.0000 0.7524  4 Ag 2.84-2.86
Mg 0.2628 0.5000 0.2542  2 Au 2.80-2.81, 2 Ag 2.87
Mg 0.5055 0.0000 0.5014  3 Au 2.83-2.84, 1 Ag 2.85
Mg 0.5133 0.5000 0.0053  2 Au 2.80-2.81, 2 Ag 2.87
Mg 0.7511 0.0000 0.2525  3 Au 2.81-2.84, 1 Ag 2.87
Mg 0.7587 0.5000 0.7556  1 Au 2.80, 3 Ag 2.84-2.85
Ag 0.0684 0.5000 0.6896  4 Sb 2.83-2.85, 4 Mg 2.84-2.85
Ag 0.0687 0.0000 0.1903  4 Sb 2.82-2.83, 4 Mg 2.87-2.88
Ag 0.3195 0.0000 0.9411  4 Sb 2.82-2.83, 4 Mg 2.86-2.87
Ag 0.5697 0.0000 0.6898  4 Sb 2.82-2.84, 4 Mg 2.85
Sb 0.1308 0.0000 0.3767  1 Ag 2.82, 3 Au 2.84
Sb 0.1343 0.5000 0.8780  3 Ag 2.83-2.85, 1 Au 2.86
Sb 0.3795 0.0000 0.1274  2 Ag 2.82-2.83, 2 Au 2.85
Sb 0.3825 0.5000 0.6284  3 Ag 2.83-2.84, 1 Au 2.85
Sb 0.6292 0.0000 0.8772  2 Ag 2.83-2.84, 2 Au 2.85
Sb 0.6323 0.5000 0.3780  4 Au 2.83-2.84
Sb 0.8812 0.0000 0.6278  3 Ag 2.82-2.83, 1 Au 2.84
Sb 0.8845 0.5000 0.1291  2 Ag 2.82, 2 Au 2.84-2.85
Au 0.3195 0.5000 0.4403  4 Mg 2.81-2.83, 4 Sb 2.84-2.85
Au 0.5701 0.5000 0.1907  4 Mg 2.80-2.81, 4 Sb 2.83-2.85
Au 0.8189 0.0000 0.4399  4 Sb 2.83-2.84, 4 Mg 2.83-2.84
Au 0.8193 0.5000 0.9409  4 Mg 2.80, 4 Sb 2.85-2.86

Calculated values
Space-group type: No. 6

Number 1: energy -8.04 eV per atom. Number 2: energy -6.70 eV per atom. Number 3: energy -8.30 eV per atom. Number 4: energy -7.02 eV per atom. Number 5: energy -5.91 eV per atom. Number 6: energy -1.92 eV per atom. Number 7: energy -6.56 eV per atom. Number 8: energy -4.25 eV per atom. Number 9: energy -4.41 eV per atom. Number 10: energy -6.45 eV per atom. Number 11: energy -5.12 eV per atom. Number 12: energy -3.14 eV per atom. Number 13: energy -3.24 eV per atom.